*A*
A plane-wave DFT calculation with PBE was carried out for a relaxed structure of HfMgTcAs.

a = 4.5998 Å, b = 4.5998 Å, c = 4.5998 Å
α = 60.00°, β = 60.00°, γ = 60.00°
Atoms (fractional coordinates):
Hf 0.0000 0.0000 0.0000
Mg 0.5000 0.5000 0.5000
Tc 0.7500 0.7500 0.7500
As 0.2500 0.2500 0.2500

Output
- symmetry = F-43m (216)


*B*
A plane-wave DFT calculation with PBE was carried out for a relaxed structure of HfMgTcAs.

a = 4.5683 Å, b = 4.5683 Å, c = 4.5683 Å
α = 60.00°, β = 60.00°, γ = 60.00°
Atoms (fractional coordinates):
Hf 0.0000 0.0000 0.0000
Mg 0.2500 0.2500 0.2500
Tc 0.5000 0.5000 0.5000
As 0.7500 0.7500 0.7500

Output
- symmetry = F-43m (216)


Of them, *A* has the highest stability.